DFT (GGA-PBE) results for a relaxed structure of Sr4Ir.

a b c (Å): 8.2303 8.2303 8.4809
angles (deg): 105.35 105.35 117.02
Fractional coordinates of all 10 atoms:
Sr  0.2697  0.5074  0.8359
Sr  0.7803  0.0179  0.8231
Sr  0.7574  0.0197  0.3359
Sr  0.2679  0.5303  0.3231
Sr  0.2071  0.9448  0.6769
Sr  0.6715  0.4338  0.1641
Ir  0.2357  0.2357  0.0000
Ir  0.4857  0.9857  0.5000
Sr  0.1948  0.9571  0.1769
Sr  0.6838  0.4215  0.6641

Properties
crystal system = orthorhombic
energy relative to the elements = -0.1552 eV/atom
ΔE to the lowest computed polymorph = 0.035 eV/atom
final energy = -3.2728 eV/atom

=====

DFT (GGA-PBE) results for a relaxed structure of Sr5Ir.

a b c (Å): 4.5099 9.7199 11.5827
angles (deg): 90.00 90.00 90.00
Fractional coordinates of all 12 atoms:
Sr  0.0000  0.3993  0.2500
Sr  0.5000  0.9640  0.7500
Ir  0.0000  0.1803  0.7500
Sr  0.5000  0.6935  0.4117
Sr  0.5000  0.6935  0.0883
Sr  0.5000  0.3065  0.5883
Sr  0.0000  0.6007  0.7500
Sr  0.0000  0.0000  0.5000
Sr  0.5000  0.3065  0.9117
Sr  0.5000  0.0360  0.2500
Sr  0.0000  0.0000  0.0000
Ir  0.0000  0.8197  0.2500

Properties
crystal system = orthorhombic
energy relative to the elements = -0.1003 eV/atom
ΔE to the lowest computed polymorph = 0.000 eV/atom
final energy = -2.9787 eV/atom

=====

DFT (GGA-PBE) results for a relaxed structure of SrIr3.

a b c (Å): 4.1324 4.1324 4.1324
angles (deg): 90.00 90.00 90.00
Fractional coordinates of all 4 atoms:
Sr  0.0000  0.0000  0.0000
Ir  0.5000  0.5000  0.0000
Ir  0.0000  0.5000  0.5000
Ir  0.5000  0.0000  0.5000

Properties
crystal system = cubic
energy relative to the elements = 0.4659 eV/atom
final energy = -6.6003 eV/atom

=====

DFT (GGA-PBE) results for a relaxed structure of Sr2Ir.

a b c (Å): 7.5784 7.5784 7.5767
angles (deg): 90.00 90.00 120.00
Fractional coordinates of all 12 atoms:
Sr  0.6113  0.8056  0.7500
Sr  0.0000  0.0000  0.5000
Ir  0.3333  0.6667  0.4206
Ir  0.3333  0.6667  0.0794
Ir  0.6667  0.3333  0.9206
Sr  0.1944  0.3887  0.7500
Sr  0.0000  0.0000  0.0000
Sr  0.8056  0.1944  0.2500
Sr  0.8056  0.6113  0.2500
Sr  0.3887  0.1944  0.2500
Sr  0.1944  0.8056  0.7500
Ir  0.6667  0.3333  0.5794

Properties
crystal system = hexagonal
energy relative to the elements = 0.9169 eV/atom
final energy = -3.1580 eV/atom